First-principles (PBEsol) data for crystalline TaNi2 at its relaxed geometry, as listed in Alexandria via LeMat-Bulk.

It has space group I4/mmm (No. 139), with a = 3.134 Å, b = 3.134 Å, c = 7.792 Å, α = 90.00°, β = 90.00° and γ = 90.00°. The distinct sites, in fractional coordinates, are Ta at (0.000, 0.000, 0.000) and Ni at (0.000, 0.000, 0.333).

For the calculated total energy, the calculation gives -8.636 eV/atom. As for the crystal system: tetragonal. The calculation puts the density of states at the Fermi level at 0.430 states/eV per atom.



First-principles (PBEsol) data for crystalline TaNi at its relaxed geometry, as listed in Alexandria via LeMat-Bulk.

It has space group P6_3/mmc (No. 194), with a = 4.1805 Å, b = 4.1805 Å, c = 4.8080 Å, α = 90.00°, β = 90.00° and γ = 120.00°. The distinct sites, in fractional coordinates, are Ta at (0.3333, 0.6667, 0.2500) and Ni at (0.3333, 0.6667, 0.7500).

For the calculated total energy, the calculation gives -8.570 eV/atom. As for the crystal system: hexagonal. The calculation puts the density of states at the Fermi level at 0.964 states/eV per atom.